No. 1
{
  "formula": "CePm4Pd5",
  "functional": "GGA-PBE",
  "state": "relaxed",
  "spacegroup": "P4/mmm (123)",
  "ef_ev_per_fu": -7.31,
  "e_tot_ev_per_atom": -5.82,
  "magmom_total_mub_per_atom": 0.10,
  "vol_a3_per_cell": 232,
  "lattice": [[3.5624, 0.0000, 0.0000], [0.0000, 3.5624, 0.0000], [0.0000, 0.0000, 18.2971]],
  "species": ["Ce", "Pm", "Pm", "Pm", "Pm", "Pd", "Pd", "Pd", "Pd", "Pd"],
  "frac_coords": [[0.0000, 0.0000, 0.0000], [0.0000, 0.0000, 0.1997], [0.0000, 0.0000, 0.3999], [0.0000, 0.0000, 0.6001], [0.0000, 0.0000, 0.8003], [0.5000, 0.5000, 0.0990], [0.5000, 0.5000, 0.3007], [0.5000, 0.5000, 0.5000], [0.5000, 0.5000, 0.6993], [0.5000, 0.5000, 0.9010]]
}

***

No. 2
{
  "formula": "PmUSi2",
  "functional": "GGA-PBE",
  "state": "relaxed",
  "spacegroup": "P4/mmm (123)",
  "raw_formation_energy_ev_per_atom": -0.2569,
  "e_above_lowest_polymorph_mev_per_atom": 0,
  "e_tot_ev_per_atom": -6.98,
  "magmom_total_mub_per_atom": 0.62,
  "vol_a3_per_cell": 85,
  "lattice": [[3.2557, 0.0000, 0.0000], [0.0000, 3.2557, 0.0000], [0.0000, 0.0000, 8.0371]],
  "species": ["Si", "Si", "U", "Pm"],
  "frac_coords": [[0.0000, 0.0000, 0.7610], [0.0000, 0.0000, 0.2390], [0.5000, 0.5000, 0.0000], [0.5000, 0.5000, 0.5000]]
}

***

No. 3
{
  "formula": "In3BO6",
  "functional": "GGA-PBE",
  "state": "relaxed",
  "spacegroup": "Cmc2_1 (36)",
  "raw_formation_energy_ev_per_atom": -1.7011,
  "e_tot_ev_per_atom": -6.17,
  "magmom_total_mub_per_atom": 0.00,
  "vol_a3_per_cell": 233,
  "lattice": [[4.9994, 0.0000, 0.0000], [0.0000, 6.9357, -0.0627], [0.0000, -1.6088, 6.7468]],
  "species": ["In", "In", "In", "In", "In", "In", "B", "B", "O", "O", "O", "O", "O", "O", "O", "O", "O", "O", "O", "O"],
  "frac_coords": [[0.4758, 0.9216, 0.6967], [0.9758, 0.6967, 0.9216], [0.3980, 0.4021, 0.5979], [0.8980, 0.5979, 0.4021], [0.9758, 0.0784, 0.3033], [0.4758, 0.3033, 0.0784], [0.0381, 0.1960, 0.8040], [0.5381, 0.8040, 0.1960], [0.1797, 0.6926, 0.6394], [0.6797, 0.6394, 0.6926], [0.1611, 0.4032, 0.8756], [0.6611, 0.8756, 0.4032], [0.1766, 0.0743, 0.9257], [0.7393, 0.1920, 0.8080], [0.2393, 0.8080, 0.1920], [0.6766, 0.9257, 0.0743], [0.1611, 0.1244, 0.5968], [0.6611, 0.5968, 0.1244], [0.1797, 0.3606, 0.3074], [0.6797, 0.3074, 0.3606]]
}

***

No. 4
{
  "formula": "In2Ge2Br",
  "functional": "GGA-PBE",
  "state": "relaxed",
  "spacegroup": "I4/mmm (139)",
  "raw_formation_energy_ev_per_atom": 0.0183,
  "e_above_lowest_polymorph_mev_per_atom": 4,
  "e_tot_ev_per_atom": -3.26,
  "magmom_total_mub_per_atom": 0.00,
  "vol_a3_per_cell": 130,
  "lattice": [[-4.3322, -0.0404, -2.8297], [-1.3381, -4.5300, 2.1132], [-5.1789, 0.0654, 3.1965]],
  "species": ["Ge", "Ge", "Br", "In", "In"],
  "frac_coords": [[0.3747, 0.3747, 0.2506], [0.6253, 0.6253, 0.7494], [0.0000, 0.0000, 0.0000], [0.7500, 0.2500, 0.5000], [0.2500, 0.7500, 0.5000]]
}

***

No. 5
{
  "formula": "ZrGe2WAu",
  "functional": "GGA-PBE",
  "state": "relaxed",
  "spacegroup": "P4/mmm (123)",
  "ef_ev_per_fu": 7.07,
  "e_tot_ev_per_atom": -5.39,
  "magmom_total_mub_per_atom": 0.44,
  "vol_a3_per_cell": 120,
  "lattice": [[4.7448, 0.0000, 0.0000], [0.0000, 5.3371, 0.0000], [0.0000, 0.0000, 4.7448]],
  "species": ["Ge", "Ge", "Au", "Zr", "W"],
  "frac_coords": [[0.0000, 0.0000, 0.5000], [0.5000, 0.0000, 0.0000], [0.0000, 0.0000, 0.0000], [0.0000, 0.5000, 0.0000], [0.5000, 0.5000, 0.5000]]
}

***

No. 6
{
  "formula": "TaTl2Br6",
  "functional": "GGA-PBE",
  "state": "relaxed",
  "spacegroup": "P2_1/c (14)",
  "raw_formation_energy_ev_per_atom": -0.8675,
  "e_above_lowest_polymorph_mev_per_atom": 0,
  "e_tot_ev_per_atom": -3.83,
  "magmom_total_mub_per_atom": 0.11,
  "vol_a3_per_cell": 629,
  "lattice": [[-6.5840, 4.2678, 1.2907], [-3.6580, -6.2457, 1.9918], [3.0150, 1.6401, 9.9567]],
  "species": ["Ta", "Ta", "Tl", "Tl", "Tl", "Tl", "Br", "Br", "Br", "Br", "Br", "Br", "Br", "Br", "Br", "Br", "Br", "Br"],
  "frac_coords": [[0.5000, 0.5000, 0.0000], [0.0000, 0.0000, 0.5000], [0.5767, 0.0192, 0.2462], [0.0767, 0.4808, 0.2538], [0.9233, 0.5192, 0.7462], [0.4233, 0.9808, 0.7538], [0.0107, 0.0740, 0.7401], [0.2691, 0.1846, 0.4655], [0.3167, 0.2196, 0.0360], [0.8167, 0.2804, 0.4640], [0.7691, 0.3154, 0.0345], [0.5107, 0.4260, 0.7599], [0.9893, 0.9260, 0.2599], [0.7309, 0.8154, 0.5345], [0.6833, 0.7804, 0.9640], [0.1833, 0.7196, 0.5360], [0.2309, 0.6846, 0.9655], [0.4893, 0.5740, 0.2401]]
}

***

No. 7
{
  "formula": "TiS2I",
  "functional": "GGA-PBE",
  "state": "relaxed",
  "spacegroup": "Fm-3m (225)",
  "raw_formation_energy_ev_per_atom": 0.2125,
  "e_above_lowest_polymorph_mev_per_atom": 1095,
  "e_tot_ev_per_atom": -4.21,
  "magmom_total_mub_per_atom": 0.00,
  "vol_a3_per_cell": 75,
  "lattice": [[0.0000, 3.3401, 3.3401], [3.3401, 0.0000, 3.3401], [3.3401, 3.3401, 0.0000]],
  "species": ["I", "S", "S", "Ti"],
  "frac_coords": [[0.5000, 0.5000, 0.5000], [0.2500, 0.2500, 0.2500], [0.7500, 0.7500, 0.7500], [0.0000, 0.0000, 0.0000]]
}

***

No. 8
{
  "formula": "KC2Cl4",
  "functional": "GGA-PBE",
  "state": "relaxed",
  "spacegroup": "I4/mmm (139)",
  "raw_formation_energy_ev_per_atom": 0.7037,
  "e_tot_ev_per_atom": -3.14,
  "magmom_total_mub_per_atom": 0.15,
  "vol_a3_per_cell": 241,
  "lattice": [[-5.4830, 0.4627, 1.8730], [-1.8420, -2.9343, -4.6672], [-2.9591, -7.3576, 2.1742]],
  "species": ["K", "C", "C", "Cl", "Cl", "Cl", "Cl"],
  "frac_coords": [[0.0000, 0.0000, 0.0000], [0.5842, 0.5842, 0.8316], [0.4158, 0.4158, 0.1684], [0.7023, 0.7023, 0.5954], [0.2977, 0.2977, 0.4046], [0.0000, 0.5000, 0.0000], [0.5000, 0.0000, 0.0000]]
}

***

No. 9
{
  "formula": "TlCuSn2Hg",
  "functional": "GGA-PBE",
  "state": "relaxed",
  "spacegroup": "P4/mmm (123)",
  "ef_ev_per_fu": 0.86,
  "e_above_lowest_polymorph_mev_per_atom": 0,
  "e_tot_ev_per_atom": -2.78,
  "magmom_total_mub_per_atom": 0.00,
  "vol_a3_per_cell": 138,
  "lattice": [[5.1483, 0.0000, 0.0000], [0.0000, 5.1483, 0.0000], [0.0000, 0.0000, 5.1928]],
  "species": ["Tl", "Hg", "Cu", "Sn", "Sn"],
  "frac_coords": [[0.5000, 0.5000, 0.5000], [0.0000, 0.0000, 0.5000], [0.0000, 0.0000, 0.0000], [0.0000, 0.5000, 0.0000], [0.5000, 0.0000, 0.0000]]
}

***

No. 10
{
  "formula": "Li5PbAu4",
  "functional": "GGA-PBE",
  "state": "relaxed",
  "spacegroup": "P4/mmm (123)",
  "ef_ev_per_fu": -4.76,
  "e_tot_ev_per_atom": -3.11,
  "magmom_total_mub_per_atom": 0.00,
  "vol_a3_per_cell": 166,
  "lattice": [[-2.6189, -0.2880, 1.9950], [1.7719, -1.8882, 2.0535], [4.4122, 12.3837, 7.5796]],
  "species": ["Li", "Li", "Li", "Li", "Li", "Pb", "Au", "Au", "Au", "Au"],
  "frac_coords": [[0.5000, 0.5000, 0.1231], [0.5000, 0.5000, 0.3097], [0.5000, 0.5000, 0.5000], [0.5000, 0.5000, 0.6903], [0.5000, 0.5000, 0.8769], [0.0000, 0.0000, 0.0000], [0.0000, 0.0000, 0.2133], [0.0000, 0.0000, 0.4052], [0.0000, 0.0000, 0.5948], [0.0000, 0.0000, 0.7867]]
}

***

No. 11
{
  "formula": "Mg6Ru7",
  "functional": "GGA-PBE",
  "state": "relaxed",
  "spacegroup": "R-3m (166)",
  "ef_ev_per_fu": 0.55,
  "e_tot_ev_per_atom": -5.69,
  "magmom_total_mub_per_atom": 0.00,
  "vol_a3_per_cell": 215,
  "lattice": [[9.7499, 0.0126, 0.0077], [8.3689, 5.0022, 0.0077], [8.3689, 2.3163, 4.4336]],
  "species": ["Ru", "Ru", "Ru", "Ru", "Ru", "Ru", "Ru", "Mg", "Mg", "Mg", "Mg", "Mg", "Mg"],
  "frac_coords": [[0.9176, 0.4064, 0.4064], [0.4064, 0.4064, 0.9176], [0.4064, 0.9176, 0.4064], [0.0824, 0.5936, 0.5936], [0.5936, 0.0824, 0.5936], [0.5936, 0.5936, 0.0824], [0.5000, 0.5000, 0.5000], [0.9477, 0.9477, 0.9477], [0.0523, 0.0523, 0.0523], [0.8474, 0.8474, 0.8474], [0.1526, 0.1526, 0.1526], [0.6642, 0.6642, 0.6642], [0.3358, 0.3358, 0.3358]]
}

***

No. 12
{
  "formula": "NaSrCrAg2",
  "functional": "GGA-PBE",
  "state": "relaxed",
  "spacegroup": "P4/mmm (123)",
  "ef_ev_per_fu": 6.87,
  "e_tot_ev_per_atom": -2.29,
  "magmom_total_mub_per_atom": 0.09,
  "vol_a3_per_cell": 137,
  "lattice": [[-4.7567, -1.1991, 0.8445], [0.7532, -4.8082, -2.5851], [1.2993, -2.1159, 4.3142]],
  "species": ["Sr", "Na", "Ag", "Ag", "Cr"],
  "frac_coords": [[0.0000, 0.5000, 0.0000], [0.0000, 0.0000, 0.0000], [0.0000, 0.0000, 0.5000], [0.5000, 0.0000, 0.0000], [0.5000, 0.5000, 0.5000]]
}

***

No. 13
{
  "formula": "TbTm2Pu",
  "functional": "GGA-PBE",
  "state": "relaxed",
  "spacegroup": "R3m (160)",
  "ef_ev_per_fu": 0.35,
  "e_above_lowest_polymorph_mev_per_atom": 0,
  "e_tot_ev_per_atom": -6.89,
  "magmom_total_mub_per_atom": 1.47,
  "vol_a3_per_cell": 120,
  "lattice": [[-3.4649, 0.1796, -0.4940], [-2.1367, -2.1328, 1.7798], [-2.6442, 6.9960, 8.6592]],
  "species": ["Tb", "Tm", "Tm", "Pu"],
  "frac_coords": [[0.5005, 0.5005, 0.4985], [0.0821, 0.0821, 0.7537], [0.2512, 0.2512, 0.2463], [0.6662, 0.6662, 0.0015]]
}

***

No. 14
{
  "formula": "CaMgB6H12O17",
  "functional": "GGA-PBE",
  "state": "relaxed",
  "spacegroup": "P2/c (13)",
  "e_tot_ev_per_atom": -6.41,
  "magmom_total_mub_per_atom": 0.00,
  "vol_a3_per_cell": 650,
  "lattice": [[-5.9582, -3.0480, 0.6589], [3.3655, -7.1693, -2.7315], [1.6495, -0.7011, 11.6732]],
  "species": ["Ca", "Ca", "Mg", "Mg", "B", "B", "B", "B", "B", "B", "B", "B", "B", "B", "B", "B", "H", "H", "H", "H", "H", "H", "H", "H", "H", "H", "H", "H", "H", "H", "H", "H", "H", "H", "H", "H", "H", "H", "H", "H", "O", "O", "O", "O", "O", "O", "O", "O", "O", "O", "O", "O", "O", "O", "O", "O", "O", "O", "O", "O", "O", "O", "O", "O", "O", "O", "O", "O", "O", "O", "O", "O", "O", "O"],
  "frac_coords": [[0.5194, 0.2500, 0.5000], [0.4806, 0.7500, 0.5000], [0.0000, 0.5000, 0.0000], [0.0000, 0.0000, 0.0000], [0.4934, 0.1555, 0.7693], [0.7101, 0.4060, 0.7762], [0.5066, 0.6555, 0.7693], [0.2899, 0.9060, 0.7762], [0.2390, 0.0472, 0.6161], [0.7610, 0.5472, 0.6161], [0.2390, 0.4528, 0.3839], [0.7610, 0.9528, 0.3839], [0.7101, 0.0940, 0.2238], [0.4934, 0.3445, 0.2307], [0.2899, 0.5940, 0.2238], [0.5066, 0.8445, 0.2307], [0.3526, 0.0961, 0.9762], [0.7845, 0.2409, 0.9305], [0.6474, 0.5961, 0.9762], [0.3723, 0.4516, 0.9007], [0.2155, 0.7409, 0.9305], [0.0297, 0.0214, 0.7785], [0.6277, 0.9516, 0.9007], [0.9703, 0.5214, 0.7785], [0.0062, 0.2140, 0.6611], [0.8367, 0.0097, 0.5592], [0.9938, 0.7140, 0.6611], [0.1633, 0.5097, 0.5592], [0.8367, 0.4903, 0.4408], [0.0062, 0.2860, 0.3389], [0.1633, 0.9903, 0.4408], [0.9938, 0.7860, 0.3389], [0.0297, 0.4786, 0.2215], [0.3723, 0.0484, 0.0993], [0.9703, 0.9786, 0.2215], [0.7845, 0.2591, 0.0695], [0.6277, 0.5484, 0.0993], [0.3526, 0.4039, 0.0238], [0.2155, 0.7591, 0.0695], [0.6474, 0.9039, 0.0238], [0.8746, 0.2500, 0.0000], [0.2793, 0.4059, 0.9515], [0.1254, 0.7500, 0.0000], [0.4483, 0.0318, 0.8263], [0.7207, 0.9059, 0.9515], [0.6538, 0.2536, 0.8106], [0.9061, 0.4586, 0.8309], [0.5517, 0.5318, 0.8263], [0.3462, 0.7536, 0.8106], [0.0939, 0.9586, 0.8309], [0.3850, 0.1755, 0.6744], [0.0305, 0.0966, 0.6478], [0.7239, 0.3919, 0.6515], [0.6150, 0.6755, 0.6744], [0.9695, 0.5966, 0.6478], [0.2761, 0.8919, 0.6515], [0.2811, 0.0271, 0.4911], [0.2811, 0.4729, 0.5089], [0.7189, 0.5271, 0.4911], [0.7189, 0.9729, 0.5089], [0.7239, 0.1081, 0.3485], [0.0305, 0.4034, 0.3522], [0.3850, 0.3245, 0.3256], [0.2761, 0.6081, 0.3485], [0.9695, 0.9034, 0.3522], [0.6150, 0.8245, 0.3256], [0.9061, 0.0414, 0.1691], [0.6538, 0.2464, 0.1894], [0.4483, 0.4682, 0.1737], [0.0939, 0.5414, 0.1691], [0.3462, 0.7464, 0.1894], [0.2793, 0.0941, 0.0485], [0.5517, 0.9682, 0.1737], [0.7207, 0.5941, 0.0485]]
}

***

No. 15
{
  "formula": "Pm4Pr2In",
  "functional": "GGA-PBE",
  "state": "relaxed",
  "spacegroup": "P2_1/c (14)",
  "ef_ev_per_fu": 0.01,
  "e_above_lowest_polymorph_mev_per_atom": 58,
  "e_tot_ev_per_atom": -4.47,
  "magmom_total_mub_per_atom": 0.00,
  "vol_a3_per_cell": 475,
  "lattice": [[-8.6654, 5.2340, -6.9918], [1.2029, -4.3021, -4.7113], [-4.7761, -1.1489, 5.0593]],
  "species": ["Pr", "Pr", "Pr", "Pr", "In", "In", "Pm", "Pm", "Pm", "Pm", "Pm", "Pm", "Pm", "Pm"],
  "frac_coords": [[0.9748, 0.6427, 0.3134], [0.0252, 0.3573, 0.6866], [0.4748, 0.8573, 0.6866], [0.5252, 0.1427, 0.3134], [0.0000, 0.0000, 0.0000], [0.5000, 0.5000, 0.0000], [0.7212, 0.6708, 0.8589], [0.6941, 0.6774, 0.3479], [0.8059, 0.1774, 0.3479], [0.7788, 0.1708, 0.8589], [0.2212, 0.8292, 0.1411], [0.1941, 0.8226, 0.6521], [0.3059, 0.3226, 0.6521], [0.2788, 0.3292, 0.1411]]
}

***

No. 16
{
  "formula": "LiAs2W",
  "functional": "GGA-PBE",
  "state": "relaxed",
  "spacegroup": "Immm (71)",
  "ef_ev_per_fu": 0.16,
  "e_above_lowest_polymorph_mev_per_atom": 229,
  "e_tot_ev_per_atom": -6.00,
  "magmom_total_mub_per_atom": 0.00,
  "vol_a3_per_cell": 61,
  "lattice": [[-4.2935, 1.6409, 0.6084], [-2.4784, -3.3658, -2.0063], [3.0036, 0.0678, 3.5313]],
  "species": ["As", "As", "Li", "W"],
  "frac_coords": [[0.9819, 0.9819, 0.0000], [0.5181, 0.5181, 0.0000], [0.7500, 0.2500, 0.5000], [0.2500, 0.7500, 0.5000]]
}

***

No. 17
{
  "formula": "Li12Mg7Au",
  "functional": "GGA-PBE",
  "state": "relaxed",
  "spacegroup": "Im-3 (204)",
  "ef_ev_per_fu": 6.66,
  "e_above_lowest_polymorph_mev_per_atom": 399,
  "e_tot_ev_per_atom": -1.54,
  "magmom_total_mub_per_atom": 0.00,
  "vol_a3_per_cell": 549,
  "lattice": [[-5.4063, 2.0333, 6.8186], [-4.8928, -1.6200, -7.3001], [4.7815, -7.2646, 2.0537]],
  "species": ["Li", "Li", "Li", "Li", "Li", "Li", "Li", "Li", "Li", "Li", "Li", "Li", "Mg", "Mg", "Mg", "Mg", "Mg", "Mg", "Mg", "Au"],
  "frac_coords": [[0.3944, 0.6433, 0.7511], [0.8923, 0.6433, 0.2489], [0.6056, 0.3567, 0.2489], [0.1077, 0.3567, 0.7511], [0.7511, 0.1077, 0.3567], [0.7511, 0.3944, 0.6433], [0.2489, 0.8923, 0.6433], [0.2489, 0.6056, 0.3567], [0.6433, 0.7511, 0.3944], [0.3567, 0.2489, 0.6056], [0.6433, 0.2489, 0.8923], [0.3567, 0.7511, 0.1077], [0.5000, 0.5000, 0.0000], [0.0000, 0.5000, 0.5000], [0.5000, 0.0000, 0.5000], [0.5000, 0.5000, 0.5000], [0.0000, 0.0000, 0.5000], [0.5000, 0.0000, 0.0000], [0.0000, 0.5000, 0.0000], [0.0000, 0.0000, 0.0000]]
}

***

No. 18
{
  "formula": "Tm2ScGa6",
  "functional": "GGA-PBE",
  "state": "relaxed",
  "spacegroup": "P6/mmm (191)",
  "ef_ev_per_fu": -5.13,
  "e_above_lowest_polymorph_mev_per_atom": 0,
  "e_tot_ev_per_atom": -4.28,
  "magmom_total_mub_per_atom": 0.00,
  "vol_a3_per_cell": 171,
  "lattice": [[-1.7447, -2.2456, 1.8254], [4.1528, -5.6712, -3.0075], [2.3075, 3.4336, 6.4295]],
  "species": ["Tm", "Tm", "Sc", "Ga", "Ga", "Ga", "Ga", "Ga", "Ga"],
  "frac_coords": [[0.0000, 0.3333, 0.6667], [0.0000, 0.6667, 0.3333], [0.0000, 0.0000, 0.0000], [0.5000, 0.3306, 0.3306], [0.5000, 0.6694, 0.6694], [0.5000, 0.0000, 0.6694], [0.5000, 0.6694, 0.0000], [0.5000, 0.3306, 0.0000], [0.5000, 0.0000, 0.3306]]
}

***

No. 19
{
  "formula": "MnHgPt",
  "functional": "GGA-PBE",
  "state": "relaxed",
  "spacegroup": "P3m1 (156)",
  "ef_ev_per_fu": 0.13,
  "e_above_lowest_polymorph_mev_per_atom": 112,
  "e_tot_ev_per_atom": -5.13,
  "magmom_total_mub_per_atom": 1.41,
  "vol_a3_per_cell": 52,
  "lattice": [[-1.4136, -0.0145, -4.2953], [0.6866, -3.9088, 2.1675], [-2.7684, 0.0189, 0.9110]],
  "species": ["Hg", "Mn", "Pt"],
  "frac_coords": [[0.0000, 0.0000, 0.0078], [0.6667, 0.3333, 0.3826], [0.3333, 0.6667, 0.6095]]
}

***

No. 20
{
  "formula": "PrLuTlAg",
  "functional": "GGA-PBE",
  "state": "relaxed",
  "spacegroup": "F-43m (216)",
  "ef_ev_per_fu": -1.21,
  "e_tot_ev_per_atom": -3.93,
  "magmom_total_mub_per_atom": 0.00,
  "vol_a3_per_cell": 107,
  "lattice": [[5.3280, 0.0000, 0.0000], [2.6640, 4.6142, 0.0000], [2.6640, 1.5381, 4.3503]],
  "species": ["Pr", "Tl", "Lu", "Ag"],
  "frac_coords": [[0.5000, 0.5000, 0.5000], [0.7500, 0.7500, 0.7500], [0.0000, 0.0000, 0.0000], [0.2500, 0.2500, 0.2500]]
}